Entry 1:
Here is a geometry-optimized Nd2CoRhO6 structure from Alexandria via LeMat-Bulk. Energies are from PBE with a Hubbard U.

Computed properties:
The value obtained for the magnetic moment is 0.195 μB/atom. The volume is 12.4 A^3/atom. Its density is 7.3 g/cm3. Its total energy is -7.320 eV/atom. Its space group is P2_1/c (14).

Lattice parameters (Å, degrees): 5.4632 5.8477 7.7554 90.00 90.16 90.00
Last column: magnetic moment on the atom in μB.
Sites, in units of the cell vectors:
Nd 0.0209 0.9275 0.2499  0.00
Nd 0.5209 0.5725 0.7499  0.00
Nd 0.9791 0.0725 0.7501  0.00
Nd 0.4791 0.4275 0.2501  0.00
Co 0.5000 0.0000 0.0000  2.60
Co 0.0000 0.5000 0.5000  2.60
Rh 0.5000 0.0000 0.5000  -0.47
Rh 0.0000 0.5000 0.0000  -0.47
O 0.3056 0.6935 0.0508  -0.02
O 0.8056 0.8065 0.5508  -0.02
O 0.6944 0.3065 0.9492  -0.02
O 0.1944 0.1935 0.4492  -0.02
O 0.3149 0.7032 0.4469  -0.03
O 0.8149 0.7968 0.9469  -0.03
O 0.6851 0.2968 0.5531  -0.03
O 0.1851 0.2032 0.0531  -0.03
O 0.8963 0.5305 0.2501  -0.02
O 0.3963 0.9695 0.7501  -0.02
O 0.1037 0.4695 0.7499  -0.02
O 0.6037 0.0305 0.2499  -0.02

---

Entry 2:
Here is a geometry-optimized NdCo3Rh4O12 structure from Alexandria via LeMat-Bulk. Energies are from PBE with a Hubbard U.

Computed properties:
The value obtained for the magnetic moment is 0.296 μB/atom. The volume is 10.8 A^3/atom. Its density is 7.1 g/cm3. Its total energy is -6.573 eV/atom. Its space group is Im-3 (204).

Lattice parameters (Å, degrees): 6.5523 6.5523 6.5523 109.47 109.47 109.47
Last column: magnetic moment on the atom in μB.
Sites, in units of the cell vectors:
Nd 0.0000 0.0000 0.0000  0.03
Co 0.0000 0.5000 0.5000  2.36
Co 0.5000 0.5000 0.0000  2.36
Co 0.5000 0.0000 0.5000  2.36
Rh 0.5000 0.0000 0.0000  -0.24
Rh 0.5000 0.5000 0.5000  -0.24
Rh 0.0000 0.5000 0.0000  -0.24
Rh 0.0000 0.0000 0.5000  -0.24
O 0.3073 0.8315 0.1387  -0.03
O 0.6927 0.1685 0.8613  -0.03
O 0.6927 0.8315 0.5242  -0.03
O 0.8613 0.6927 0.1685  -0.03
O 0.8315 0.1387 0.3073  -0.03
O 0.1685 0.4758 0.3073  -0.03
O 0.4758 0.3073 0.1685  -0.03
O 0.1685 0.8613 0.6927  -0.03
O 0.3073 0.1685 0.4758  -0.03
O 0.1387 0.3073 0.8315  -0.03
O 0.8315 0.5242 0.6927  -0.03
O 0.5242 0.6927 0.8315  -0.03

---

Entry 3:
Here is a geometry-optimized NdCo2RuO8 structure from Alexandria via LeMat-Bulk. Energies are from PBE with a Hubbard U.

Computed properties:
The value obtained for the magnetic moment is 0.229 μB/atom. The volume is 12.5 A^3/atom. Its density is 5.4 g/cm3. Its total energy is -6.385 eV/atom. Its space group is I-4m2 (119).

Lattice parameters (Å, degrees): 5.8072 5.8072 5.8072 107.22 107.22 114.08
Last column: magnetic moment on the atom in μB.
Sites, in units of the cell vectors:
Nd 0.0000 0.0000 0.0000  -0.01
Co 0.7500 0.2500 0.5000  -1.33
Co 0.5000 0.5000 0.0000  2.78
Ru 0.2500 0.7500 0.5000  0.05
O 0.3719 0.0313 0.3406  0.04
O 0.3138 0.5199 0.2060  0.24
O 0.3138 0.1078 0.7940  0.24
O 0.6907 0.0313 0.6594  0.04
O 0.8922 0.6862 0.2060  0.24
O 0.9687 0.3093 0.3406  0.04
O 0.9687 0.6281 0.6594  0.04
O 0.4801 0.6862 0.7940  0.24

---

Entry 4:
Here is a geometry-optimized Nd2CoRuO6 structure from Alexandria via LeMat-Bulk. Energies are from PBE with a Hubbard U.

Computed properties:
The value obtained for the magnetic moment is 0.500 μB/atom. The volume is 12.5 A^3/atom. Its density is 7.3 g/cm3. Its total energy is -7.564 eV/atom. Its space group is P2_1/c (14).

Lattice parameters (Å, degrees): 5.8552 5.4437 9.4913 55.44 90.00 90.00
Last column: magnetic moment on the atom in μB.
Sites, in units of the cell vectors:
Nd 0.4294 0.2283 0.7495  0.01
Nd 0.5706 0.7717 0.2505  0.01
Nd 0.9294 0.7717 0.7505  0.01
Nd 0.0706 0.2283 0.2495  0.01
Co 0.0000 0.5000 0.5000  2.69
Co 0.5000 0.5000 0.0000  2.69
Ru 0.0000 0.0000 0.0000  1.46
Ru 0.5000 0.0000 0.5000  1.46
O 0.1964 0.7478 0.9502  0.11
O 0.8036 0.2522 0.0498  0.11
O 0.6964 0.2522 0.5498  0.11
O 0.3036 0.7478 0.4502  0.11
O 0.7040 0.8666 0.9463  0.10
O 0.2960 0.1334 0.0537  0.10
O 0.2040 0.1334 0.5537  0.10
O 0.7960 0.8666 0.4463  0.10
O 0.0321 0.3479 0.7547  0.12
O 0.9679 0.6521 0.2453  0.12
O 0.5321 0.6521 0.7453  0.12
O 0.4679 0.3479 0.2547  0.12

---

Entry 5:
Here is a geometry-optimized NdCo2SbO6 structure from Alexandria via LeMat-Bulk. Energies are from PBE with a Hubbard U.

Computed properties:
The value obtained for the magnetic moment is 0.000 μB/atom. The volume is 11.1 A^3/atom. Its density is 7.2 g/cm3. Its total energy is -6.438 eV/atom. Its space group is R3 (146).

Lattice parameters (Å, degrees): 5.4405 5.4405 5.3425 59.39 59.39 60.00
Sites, in units of the cell vectors:
Nd 0.7732 0.7732 0.6804
Co 0.5196 0.5196 0.4412
Co 0.0160 0.0160 0.9519
Sb 0.2955 0.2955 0.1135
O 0.6841 0.2613 0.2054
O 0.2613 0.8492 0.2054
O 0.8492 0.6841 0.2055
O 0.3373 0.7279 0.7373
O 0.7279 0.1974 0.7373
O 0.1974 0.3374 0.7373

---

Entry 6:
Here is a geometry-optimized NdCo2SiO6 structure from Alexandria via LeMat-Bulk. Energies are from PBE with a Hubbard U.

Computed properties:
The value obtained for the magnetic moment is 0.700 μB/atom. The volume is 11.1 A^3/atom. Its density is 5.8 g/cm3. Its total energy is -7.001 eV/atom. Its space group is R3 (146).

Lattice parameters (Å, degrees): 5.1637 5.1637 5.6399 62.76 62.76 60.00
Last column: magnetic moment on the atom in μB.
Sites, in units of the cell vectors:
Nd 0.7996 0.7997 0.6010  0.00
Co 0.5335 0.5335 0.3995  2.72
Co 0.0093 0.0093 0.9721  3.04
Si 0.3238 0.3238 0.0285  0.00
O 0.5704 0.2434 0.2220  0.15
O 0.2434 0.9642 0.2220  0.15
O 0.9643 0.5703 0.2221  0.15
O 0.3487 0.7034 0.7827  0.19
O 0.7034 0.1652 0.7827  0.19
O 0.1651 0.3487 0.7827  0.19